Run one
Material: Mg4HgBi
Method: DFT, PBE-GGA
State: relaxed

Calculated values
symmetry	F-43m
crystal system	cubic
calculated density	5695	kg/m3

Cell: 5.9343 5.9343 5.9343 Å, 60.00 60.00 60.00°
Fractional coordinates of all 6 atoms:
1 Mg 0.1245 0.1245 0.1245
2 Mg 0.1245 0.1245 0.6265
3 Mg 0.1245 0.6265 0.1245
4 Mg 0.6265 0.1245 0.1245
5 Hg 0.7500 0.7500 0.7500
6 Bi 0.5000 0.5000 0.5000


Run two
Material: Mg4HgBi
Method: DFT, PBE-GGA
State: relaxed

Calculated values
symmetry	P4/mmm
crystal system	tetragonal
calculated density	5279	kg/m3

Cell: 4.7335 4.7335 7.1144 Å, 90.00 90.00 90.00°
Fractional coordinates of all 6 atoms:
1 Mg 0.0000 0.5000 0.2252
2 Mg 0.0000 0.5000 0.7748
3 Mg 0.5000 0.0000 0.2252
4 Mg 0.5000 0.0000 0.7748
5 Hg 0.0000 0.0000 0.0000
6 Bi 0.5000 0.5000 0.5000


Of them, run one has the lowest stability.


Run one
Material: MgHg3Bi
Method: DFT, PBE-GGA
State: relaxed

Calculated values
symmetry	Pm-3m
crystal system	cubic
calculated density	9177	kg/m3

Cell: 5.3262 5.3262 5.3262 Å, 90.00 90.00 90.00°
Fractional coordinates of all 5 atoms:
1 Mg 0.0000 0.0000 0.0000
2 Hg 0.0000 0.0000 0.5000
3 Hg 0.0000 0.5000 0.0000
4 Hg 0.5000 0.0000 0.0000
5 Bi 0.5000 0.5000 0.5000


Run two
Material: MgHg3Bi
Method: DFT, PBE-GGA
State: relaxed

Calculated values
symmetry	C2/m
crystal system	monoclinic
calculated density	10322	kg/m3

Cell: 13.0567 13.0567 6.1783 Å, 96.52 96.52 14.88°
Fractional coordinates of all 10 atoms:
1 Mg 0.0718 0.0718 0.2765
2 Mg 0.9282 0.9282 0.7235
3 Hg 0.1513 0.1513 0.9917
4 Hg 0.2520 0.2520 0.7440
5 Hg 0.3501 0.3501 0.4701
6 Hg 0.6499 0.6499 0.5299
7 Hg 0.7480 0.7480 0.2560
8 Hg 0.8487 0.8487 0.0083
9 Bi 0.4718 0.4718 0.2381
10 Bi 0.5282 0.5282 0.7619


Of them, run one has the lowest stability.


Run one
Material: Mg3HgBi2
Method: DFT, PBE-GGA
State: relaxed

Calculated values
symmetry	C2/m
crystal system	monoclinic
calculated density	5396	kg/m3

Cell: 12.8094 12.8094 14.5560 Å, 91.07 91.07 15.51°
Fractional coordinates of all 18 atoms:
1 Mg 0.0000 0.0000 0.0000
2 Mg 0.0286 0.0286 0.6998
3 Mg 0.0954 0.0954 0.5302
4 Mg 0.2951 0.2951 0.4496
5 Mg 0.4244 0.4244 0.6516
6 Mg 0.5756 0.5756 0.3484
7 Mg 0.7049 0.7049 0.5504
8 Mg 0.9046 0.9046 0.4698
9 Mg 0.9714 0.9714 0.3002
10 Hg 0.4349 0.4349 0.1071
11 Hg 0.5000 0.5000 0.5000
12 Hg 0.5651 0.5651 0.8929
13 Bi 0.0641 0.0641 0.1774
14 Bi 0.1823 0.1823 0.3772
15 Bi 0.3671 0.3671 0.2919
16 Bi 0.6329 0.6329 0.7081
17 Bi 0.8177 0.8177 0.6228
18 Bi 0.9359 0.9359 0.8226


Run two
Material: Mg3HgBi2
Method: DFT, PBE-GGA
State: relaxed

Calculated values
symmetry	C2/c
crystal system	monoclinic
calculated density	7329	kg/m3

Cell: 7.9903 7.9903 6.8293 Å, 97.14 97.14 46.49°
Fractional coordinates of all 12 atoms:
1 Mg 0.1812 0.8188 0.7500
2 Mg 0.2955 0.3912 0.9467
3 Mg 0.3912 0.2955 0.4467
4 Mg 0.6088 0.7045 0.5533
5 Mg 0.7045 0.6088 0.0533
6 Mg 0.8188 0.1812 0.2500
7 Hg 0.3719 0.6281 0.2500
8 Hg 0.6281 0.3719 0.7500
9 Bi 0.1175 0.2070 0.6359
10 Bi 0.2070 0.1175 0.1359
11 Bi 0.7930 0.8825 0.8641
12 Bi 0.8825 0.7930 0.3641


Of them, run one has the lowest stability.


Run one
Material: Mg2Hg2Bi
Method: DFT, PBE-GGA
State: relaxed

Calculated values
symmetry	P-1
crystal system	triclinic
calculated density	8850	kg/m3

Cell: 3.4677 5.1562 7.5010 Å, 90.61 102.76 108.46°
Fractional coordinates of all 5 atoms:
1 Mg 0.0788 0.3921 0.2600
2 Mg 0.9212 0.6079 0.7400
3 Hg 0.3055 0.2070 0.9042
4 Hg 0.6945 0.7930 0.0958
5 Bi 0.5000 0.0000 0.5000


Run two
Material: Mg2Hg2Bi
Method: DFT, PBE-GGA
State: relaxed

Calculated values
symmetry	I4/mmm
crystal system	tetragonal
calculated density	8462	kg/m3

Cell: 7.7048 7.7048 7.7048 Å, 147.82 147.82 46.15°
Fractional coordinates of all 5 atoms:
1 Mg 0.1018 0.1018 0.0000
2 Mg 0.8982 0.8982 0.0000
3 Hg 0.2500 0.7500 0.5000
4 Hg 0.7500 0.2500 0.5000
5 Bi 0.5000 0.5000 0.0000


Run three
Material: Mg2Hg2Bi
Method: DFT, PBE-GGA
State: relaxed

Calculated values
symmetry	P4/mbm
crystal system	tetragonal
calculated density	9146	kg/m3

Cell: 8.3839 8.3839 3.4034 Å, 90.00 90.00 90.00°
Fractional coordinates of all 10 atoms:
1 Mg 0.1643 0.3357 0.0000
2 Mg 0.3357 0.8357 0.0000
3 Mg 0.6643 0.1643 0.0000
4 Mg 0.8357 0.6643 0.0000
5 Hg 0.1318 0.6318 0.5000
6 Hg 0.3682 0.1318 0.5000
7 Hg 0.6318 0.8682 0.5000
8 Hg 0.8682 0.3682 0.5000
9 Bi 0.0000 0.0000 0.5000
10 Bi 0.5000 0.5000 0.5000


Run four
Material: Mg2Hg2Bi
Method: DFT, PBE-GGA
State: relaxed

Calculated values
symmetry	I4/mmm
crystal system	tetragonal
calculated density	8739	kg/m3

Cell: 7.1387 7.1387 7.1387 Å, 143.97 143.97 51.88°
Fractional coordinates of all 5 atoms:
1 Mg 0.2500 0.7500 0.5000
2 Mg 0.7500 0.2500 0.5000
3 Hg 0.1106 0.1106 0.0000
4 Hg 0.8894 0.8894 0.0000
5 Bi 0.5000 0.5000 0.0000


Of them, run four has the lowest stability.